No. 1
# H3SCl (PBE-GGA, optimized geometry)
# V in Å³/atom: 8.97
# Relative energy among the computed polymorphs in meV/atom: 771
data_H3SCl
_chemical_formula_sum 'H3 S1 Cl1'
_cell_length_a 3.553
_cell_length_b 3.553
_cell_length_c 3.553
_cell_angle_alpha 90.00
_cell_angle_beta 90.00
_cell_angle_gamma 90.00
_symmetry_space_group_name_H-M 'P m -3 m'
_symmetry_Int_Tables_number 221
_symmetry_space_group_name_Hall '-P 4 2 3'
loop_
_atom_site_label
_atom_site_type_symbol
_atom_site_fract_x
_atom_site_fract_y
_atom_site_fract_z
H1 H 0.000 0.000 0.500
S1 S 0.000 0.000 0.000
Cl1 Cl 0.500 0.500 0.500

***

No. 2
# H3SCl (PBE-GGA, optimized geometry)
# V in Å³/atom: 9.52
# Relative energy among the computed polymorphs in meV/atom: 1452
data_H3SCl
_chemical_formula_sum 'H3 S1 Cl1'
_cell_length_a 3.624
_cell_length_b 3.624
_cell_length_c 3.624
_cell_angle_alpha 90.00
_cell_angle_beta 90.00
_cell_angle_gamma 90.00
_symmetry_space_group_name_H-M 'P m -3 m'
_symmetry_Int_Tables_number 221
_symmetry_space_group_name_Hall '-P 4 2 3'
loop_
_atom_site_label
_atom_site_type_symbol
_atom_site_fract_x
_atom_site_fract_y
_atom_site_fract_z
H1 H 0.000 0.000 0.500
S1 S 0.500 0.500 0.500
Cl1 Cl 0.000 0.000 0.000

***

No. 3
# H4SCl2 (PBE-GGA, optimized geometry)
# V in Å³/atom: 24.11
# Relative energy among the computed polymorphs in meV/atom: 0
data_H4SCl2
_chemical_formula_sum 'H16 S4 Cl8'
_cell_length_a 15.205
_cell_length_b 5.726
_cell_length_c 7.753
_cell_angle_alpha 90.00
_cell_angle_beta 90.00
_cell_angle_gamma 90.00
_symmetry_space_group_name_H-M 'C m c m'
_symmetry_Int_Tables_number 63
_symmetry_space_group_name_Hall '-C 2c 2'
loop_
_atom_site_label
_atom_site_type_symbol
_atom_site_fract_x
_atom_site_fract_y
_atom_site_fract_z
H1 H 0.000 0.173 0.125
H2 H 0.229 0.328 0.750
S1 S 0.000 0.336 0.250
Cl1 Cl 0.179 0.141 0.750

***

No. 4
# H6SCl3 (PBE-GGA, optimized geometry)
# V in Å³/atom: 17.31
# DFT total energy in eV for the cell shown: -61.639
data_H6SCl3
_chemical_formula_sum 'H12 S2 Cl6'
_cell_length_a 4.758
_cell_length_b 4.854
_cell_length_c 15.722
_cell_angle_alpha 90.00
_cell_angle_beta 107.54
_cell_angle_gamma 90.00
_symmetry_space_group_name_H-M 'P 1 21/c 1'
_symmetry_Int_Tables_number 14
loop_
_symmetry_equiv_pos_as_xyz
'x,y,z'
'-x,-y,-z'
'-x,y+1/2,-z+1/2'
'x,-y+1/2,z+1/2'
loop_
_atom_site_label
_atom_site_type_symbol
_atom_site_fract_x
_atom_site_fract_y
_atom_site_fract_z
H1 H 0.055 0.197 0.250
H2 H 0.282 0.216 0.000
H3 H 0.282 0.716 0.500
S1 S 0.500 0.000 0.000
Cl1 Cl 0.000 0.000 0.500
Cl2 Cl 0.249 0.001 0.250